{"formula": "Ac6Ir2Au", "functional": "GGA-PBE", "state": "relaxed", "delta_e_f_ev_per_atom": -0.4757, "crystal_system": "monoclinic", "polymorph_energy_ev_per_atom": 0.0568, "final_energy_ev_per_atom": -5.548, "cell": [[7.051, -2.923, 0.000], [7.051, 2.923, 0.000], [-4.649, 0.000, 8.663]], "species": ["Ac", "Ac", "Ac", "Ac", "Ac", "Ac", "Ir", "Ir", "Au"], "fractional_positions": [[0.019, 0.019, 0.208], [0.305, 0.305, 0.911], [0.350, 0.350, 0.426], [0.650, 0.650, 0.574], [0.695, 0.695, 0.089], [0.981, 0.981, 0.792], [0.181, 0.181, 0.099], [0.819, 0.819, 0.901], [0.000, 0.000, 0.500]]}

---

{"formula": "Ac5Ir2Au2", "functional": "GGA-PBE", "state": "relaxed", "delta_e_f_ev_per_atom": -0.6900, "crystal_system": "orthorhombic", "final_energy_ev_per_atom": -5.670, "cell": [[7.997, -4.146, 0.000], [7.997, 4.146, 0.000], [0.000, 0.000, 8.323]], "species": ["Ac", "Ac", "Ac", "Ac", "Ac", "Ac", "Ac", "Ac", "Ac", "Ac", "Ir", "Ir", "Ir", "Ir", "Au", "Au", "Au", "Au"], "fractional_positions": [[0.000, 0.000, 0.000], [0.040, 0.706, 0.665], [0.206, 0.540, 0.165], [0.294, 0.960, 0.665], [0.460, 0.794, 0.165], [0.500, 0.500, 0.500], [0.540, 0.206, 0.835], [0.706, 0.040, 0.335], [0.794, 0.460, 0.835], [0.960, 0.294, 0.335], [0.135, 0.865, 0.367], [0.365, 0.635, 0.867], [0.635, 0.365, 0.133], [0.865, 0.135, 0.633], [0.205, 0.205, 0.000], [0.295, 0.295, 0.500], [0.705, 0.705, 0.500], [0.795, 0.795, 0.000]]}

---

{"formula": "Ac4IrAu", "functional": "GGA-PBE", "state": "relaxed", "delta_e_f_ev_per_atom": -0.4526, "crystal_system": "triclinic", "polymorph_energy_ev_per_atom": 0.0688, "final_energy_ev_per_atom": -5.215, "cell": [[7.472, 0.000, 0.000], [0.001, 7.883, 0.000], [3.725, 3.094, 7.613]], "species": ["Ac", "Ac", "Ac", "Ac", "Ac", "Ac", "Ac", "Ac", "Ir", "Ir", "Au", "Au"], "fractional_positions": [[0.073, 0.472, 0.287], [0.142, 0.971, 0.287], [0.318, 0.846, 0.793], [0.388, 0.346, 0.793], [0.612, 0.654, 0.207], [0.682, 0.154, 0.207], [0.858, 0.029, 0.713], [0.927, 0.528, 0.713], [0.000, 0.500, 0.000], [0.500, 0.000, 0.000], [0.304, 0.249, 0.500], [0.696, 0.751, 0.500]]}

---

{"formula": "Ac7IrAu4", "functional": "GGA-PBE", "state": "relaxed", "delta_e_f_ev_per_atom": -0.6563, "crystal_system": "monoclinic", "final_energy_ev_per_atom": -4.884, "cell": [[7.294, -2.168, 0.000], [7.294, 2.168, 0.000], [-4.569, 0.000, 13.439]], "species": ["Ac", "Ac", "Ac", "Ac", "Ac", "Ac", "Ac", "Ir", "Au", "Au", "Au", "Au"], "fractional_positions": [[0.000, 0.000, 0.000], [0.072, 0.072, 0.576], [0.277, 0.277, 0.413], [0.377, 0.377, 0.716], [0.518, 0.518, 0.258], [0.710, 0.710, 0.854], [0.750, 0.750, 0.150], [0.135, 0.135, 0.207], [0.044, 0.044, 0.791], [0.343, 0.343, 0.021], [0.732, 0.732, 0.573], [0.916, 0.916, 0.363]]}

---

{"formula": "Ac7Ir2Au2", "functional": "GGA-PBE", "state": "relaxed", "delta_e_f_ev_per_atom": -0.5668, "crystal_system": "orthorhombic", "polymorph_energy_ev_per_atom": 0.0027, "final_energy_ev_per_atom": -5.388, "cell": [[-2.113, 8.499, 5.148], [2.113, -8.499, 5.148], [2.113, 8.499, -5.148]], "species": ["Ac", "Ac", "Ac", "Ac", "Ac", "Ac", "Ac", "Ir", "Ir", "Au", "Au"], "fractional_positions": [[0.000, 0.000, 0.000], [0.105, 0.418, 0.688], [0.177, 0.792, 0.386], [0.406, 0.792, 0.614], [0.528, 0.631, 0.896], [0.730, 0.418, 0.312], [0.735, 0.631, 0.104], [0.372, 0.372, 0.000], [0.794, 0.294, 0.500], [0.368, 0.129, 0.239], [0.890, 0.129, 0.761]]}

---

{"formula": "Ac8IrAu2", "functional": "GGA-PBE", "state": "relaxed", "delta_e_f_ev_per_atom": -0.4389, "crystal_system": "monoclinic", "final_energy_ev_per_atom": -4.828, "cell": [[10.024, -2.116, 0.000], [10.024, 2.116, 0.000], [-0.580, 0.000, 9.933]], "species": ["Ac", "Ac", "Ac", "Ac", "Ac", "Ac", "Ac", "Ac", "Ir", "Au", "Au"], "fractional_positions": [[0.008, 0.008, 0.207], [0.226, 0.226, 0.330], [0.349, 0.349, 0.012], [0.406, 0.406, 0.480], [0.594, 0.594, 0.520], [0.651, 0.651, 0.988], [0.774, 0.774, 0.670], [0.992, 0.992, 0.793], [0.500, 0.500, 0.000], [0.161, 0.161, 0.741], [0.839, 0.839, 0.259]]}

---

{"formula": "Ac2IrAu3", "functional": "GGA-PBE", "state": "relaxed", "delta_e_f_ev_per_atom": -0.6673, "crystal_system": "orthorhombic", "final_energy_ev_per_atom": -5.152, "cell": [[3.999, 0.000, 0.000], [0.000, 4.637, 0.000], [0.000, 0.000, 8.471]], "species": ["Ac", "Ac", "Ir", "Au", "Au", "Au"], "fractional_positions": [[0.000, 0.000, 0.000], [0.000, 0.500, 0.453], [0.500, 0.000, 0.309], [0.500, 0.000, 0.629], [0.500, 0.500, 0.140], [0.500, 0.500, 0.811]]}

---

{"formula": "Ac2IrAu", "functional": "GGA-PBE", "state": "relaxed", "delta_e_f_ev_per_atom": -0.7646, "crystal_system": "trigonal", "polymorph_energy_ev_per_atom": 0.0000, "final_energy_ev_per_atom": -5.853, "cell": [[2.193, 1.266, 7.473], [-2.193, 1.266, 7.473], [0.000, -2.533, 7.473]], "species": ["Ac", "Ac", "Ir", "Au"], "fractional_positions": [[0.239, 0.239, 0.239], [0.761, 0.761, 0.761], [0.500, 0.500, 0.500], [0.000, 0.000, 0.000]]}

---

{"formula": "Ac5Ir2Au", "functional": "GGA-PBE", "state": "relaxed", "delta_e_f_ev_per_atom": -0.5993, "crystal_system": "tetragonal", "final_energy_ev_per_atom": -5.792, "cell": [[-4.168, 4.168, 7.326], [4.168, -4.168, 7.326], [4.168, 4.168, -7.326]], "species": ["Ac", "Ac", "Ac", "Ac", "Ac", "Ac", "Ac", "Ac", "Ac", "Ac", "Ir", "Ir", "Ir", "Ir", "Au", "Au"], "fractional_positions": [[0.000, 0.000, 0.000], [0.028, 0.528, 0.824], [0.204, 0.028, 0.500], [0.296, 0.796, 0.824], [0.472, 0.296, 0.500], [0.500, 0.500, 0.000], [0.528, 0.704, 0.500], [0.704, 0.204, 0.176], [0.796, 0.972, 0.500], [0.972, 0.472, 0.176], [0.139, 0.361, 0.500], [0.361, 0.861, 0.221], [0.639, 0.139, 0.779], [0.861, 0.639, 0.500], [0.250, 0.250, 0.000], [0.750, 0.750, 0.000]]}

---

{"formula": "Ac7Ir2Au2", "functional": "GGA-PBE", "state": "relaxed", "delta_e_f_ev_per_atom": -0.5696, "crystal_system": "orthorhombic", "polymorph_energy_ev_per_atom": 0.0000, "final_energy_ev_per_atom": -5.391, "cell": [[-2.083, 8.452, 5.242], [2.083, -8.452, 5.242], [2.083, 8.452, -5.242]], "species": ["Ac", "Ac", "Ac", "Ac", "Ac", "Ac", "Ac", "Ir", "Ir", "Au", "Au"], "fractional_positions": [[0.000, 0.000, 0.000], [0.102, 0.408, 0.693], [0.118, 0.752, 0.367], [0.385, 0.752, 0.633], [0.490, 0.612, 0.879], [0.715, 0.408, 0.307], [0.733, 0.612, 0.121], [0.362, 0.119, 0.243], [0.876, 0.119, 0.757], [0.351, 0.351, 0.000], [0.763, 0.263, 0.500]]}

---

{"formula": "Ac3IrAu2", "functional": "GGA-PBE", "state": "relaxed", "delta_e_f_ev_per_atom": -0.7840, "crystal_system": "monoclinic", "polymorph_energy_ev_per_atom": 0.0174, "final_energy_ev_per_atom": -5.407, "cell": [[7.183, -3.155, 0.000], [7.183, 3.155, 0.000], [-2.718, 0.000, 8.405]], "species": ["Ac", "Ac", "Ac", "Ac", "Ac", "Ac", "Ir", "Ir", "Au", "Au", "Au", "Au"], "fractional_positions": [[0.000, 0.000, 0.250], [0.000, 0.000, 0.750], [0.351, 0.352, 0.926], [0.352, 0.351, 0.426], [0.648, 0.649, 0.574], [0.649, 0.648, 0.074], [0.499, 0.501, 0.250], [0.501, 0.499, 0.750], [0.173, 0.174, 0.587], [0.174, 0.173, 0.087], [0.826, 0.827, 0.913], [0.827, 0.826, 0.413]]}

---

{"formula": "Ac5IrAu4", "functional": "GGA-PBE", "state": "relaxed", "delta_e_f_ev_per_atom": -0.7099, "crystal_system": "tetragonal", "polymorph_energy_ev_per_atom": 0.0829, "final_energy_ev_per_atom": -4.961, "cell": [[3.844, 0.000, 0.000], [0.000, 3.844, 0.000], [0.000, 0.000, 19.665]], "species": ["Ac", "Ac", "Ac", "Ac", "Ac", "Ir", "Au", "Au", "Au", "Au"], "fractional_positions": [[0.000, 0.000, 0.000], [0.000, 0.000, 0.204], [0.000, 0.000, 0.410], [0.000, 0.000, 0.590], [0.000, 0.000, 0.796], [0.500, 0.500, 0.500], [0.500, 0.500, 0.102], [0.500, 0.500, 0.301], [0.500, 0.500, 0.699], [0.500, 0.500, 0.898]]}

---

{"formula": "Ac6Ir3Au", "functional": "GGA-PBE", "state": "relaxed", "delta_e_f_ev_per_atom": -0.6665, "crystal_system": "monoclinic", "final_energy_ev_per_atom": -6.118, "cell": [[12.590, 0.000, 0.000], [0.000, 4.406, 0.000], [-4.842, 0.000, 12.240]], "species": ["Ac", "Ac", "Ac", "Ac", "Ac", "Ac", "Ac", "Ac", "Ac", "Ac", "Ac", "Ac", "Ir", "Ir", "Ir", "Ir", "Ir", "Ir", "Au", "Au"], "fractional_positions": [[0.046, 0.250, 0.389], [0.097, 0.750, 0.936], [0.244, 0.250, 0.778], [0.252, 0.750, 0.267], [0.410, 0.250, 0.565], [0.440, 0.250, 0.104], [0.560, 0.750, 0.896], [0.590, 0.750, 0.435], [0.748, 0.250, 0.733], [0.756, 0.750, 0.222], [0.903, 0.250, 0.064], [0.954, 0.750, 0.611], [0.004, 0.250, 0.777], [0.334, 0.750, 0.942], [0.418, 0.250, 0.338], [0.582, 0.750, 0.662], [0.666, 0.250, 0.058], [0.996, 0.750, 0.223], [0.202, 0.750, 0.570], [0.798, 0.250, 0.430]]}

---

{"formula": "Ac2La2IrAu2", "functional": "GGA-PBE", "state": "relaxed", "delta_e_f_ev_per_atom": -0.6667, "crystal_system": "monoclinic", "final_energy_ev_per_atom": -5.451, "cell": [[7.550, -2.135, 0.000], [7.550, 2.135, 0.000], [-3.689, 0.000, 7.158]], "species": ["Ac", "Ac", "La", "La", "Ir", "Au", "Au"], "fractional_positions": [[0.033, 0.033, 0.271], [0.967, 0.967, 0.729], [0.296, 0.296, 0.241], [0.704, 0.704, 0.759], [0.500, 0.500, 0.500], [0.375, 0.375, 0.938], [0.625, 0.625, 0.062]]}

---

{"formula": "LiAc2IrAu", "functional": "GGA-PBE", "state": "relaxed", "delta_e_f_ev_per_atom": -0.6260, "crystal_system": "tetragonal", "final_energy_ev_per_atom": -5.080, "cell": [[4.339, 0.000, 0.000], [0.000, 4.339, 0.000], [0.000, 0.000, 14.702]], "species": ["Li", "Li", "Ac", "Ac", "Ac", "Ac", "Ir", "Ir", "Au", "Au"], "fractional_positions": [[0.250, 0.750, 0.000], [0.750, 0.250, 0.000], [0.250, 0.250, 0.197], [0.250, 0.250, 0.601], [0.750, 0.750, 0.399], [0.750, 0.750, 0.803], [0.250, 0.250, 0.389], [0.750, 0.750, 0.611], [0.250, 0.250, 0.879], [0.750, 0.750, 0.121]]}

---

{"formula": "AcMgIrAu", "functional": "GGA-PBE", "state": "relaxed", "delta_e_f_ev_per_atom": -0.3838, "crystal_system": "cubic", "final_energy_ev_per_atom": -4.844, "cell": [[0.000, 3.584, 3.584], [3.584, 0.000, 3.584], [3.584, 3.584, 0.000]], "species": ["Ac", "Mg", "Ir", "Au"], "fractional_positions": [[0.000, 0.000, 0.000], [0.500, 0.500, 0.500], [0.250, 0.250, 0.250], [0.750, 0.750, 0.750]]}

---

{"formula": "Ac5IrAu2N", "functional": "GGA-PBE", "state": "relaxed", "e_form_raw_ev_per_atom": -0.800, "crystal_system": "orthorhombic", "final_energy_ev_per_atom": -5.720, "cell": [[2.165, -9.466, 0.000], [2.165, 9.466, 0.000], [0.000, 0.000, 13.914]], "species": ["Ac", "Ac", "Ac", "Ac", "Ac", "Ac", "Ac", "Ac", "Ac", "Ac", "Ir", "Ir", "Au", "Au", "Au", "Au", "N", "N"], "fractional_positions": [[0.003, 0.997, 0.500], [0.144, 0.856, 0.734], [0.184, 0.816, 0.109], [0.213, 0.787, 0.401], [0.457, 0.543, 0.738], [0.543, 0.457, 0.238], [0.787, 0.213, 0.901], [0.816, 0.184, 0.609], [0.856, 0.144, 0.234], [0.997, 0.003, 0.000], [0.296, 0.704, 0.756], [0.704, 0.296, 0.256], [0.370, 0.630, 0.055], [0.390, 0.610, 0.408], [0.610, 0.390, 0.908], [0.630, 0.370, 0.555], [0.053, 0.947, 0.151], [0.947, 0.053, 0.651]]}

---

{"formula": "Ac6IrAu2N", "functional": "GGA-PBE", "state": "relaxed", "e_form_raw_ev_per_atom": -0.700, "crystal_system": "monoclinic", "final_energy_ev_per_atom": -5.539, "cell": [[7.263, 0.000, 0.000], [0.000, 7.952, 0.000], [-6.922, 0.000, 11.014]], "species": ["Ac", "Ac", "Ac", "Ac", "Ac", "Ac", "Ac", "Ac", "Ac", "Ac", "Ac", "Ac", "Ir", "Ir", "Au", "Au", "Au", "Au", "N", "N"], "fractional_positions": [[0.114, 0.205, 0.444], [0.114, 0.295, 0.944], [0.243, 0.679, 0.435], [0.243, 0.821, 0.935], [0.369, 0.031, 0.241], [0.369, 0.469, 0.741], [0.631, 0.531, 0.259], [0.631, 0.969, 0.759], [0.757, 0.179, 0.065], [0.757, 0.321, 0.565], [0.886, 0.705, 0.056], [0.886, 0.795, 0.556], [0.500, 0.000, 0.500], [0.500, 0.500, 0.000], [0.185, 0.098, 0.736], [0.185, 0.402, 0.236], [0.815, 0.598, 0.764], [0.815, 0.902, 0.264], [0.000, 0.000, 0.000], [0.000, 0.500, 0.500]]}

---

{"formula": "Ac8Ir3Au3N", "functional": "GGA-PBE", "state": "relaxed", "e_form_raw_ev_per_atom": -0.733, "crystal_system": "monoclinic", "final_energy_ev_per_atom": -5.907, "cell": [[7.463, -4.318, 0.000], [7.463, 4.318, 0.000], [-4.964, 0.000, 7.489]], "species": ["Ac", "Ac", "Ac", "Ac", "Ac", "Ac", "Ac", "Ac", "Ir", "Ir", "Ir", "Au", "Au", "Au", "N"], "fractional_positions": [[0.225, 0.225, 0.707], [0.227, 0.754, 0.708], [0.246, 0.773, 0.292], [0.259, 0.259, 0.276], [0.741, 0.741, 0.724], [0.754, 0.227, 0.708], [0.773, 0.246, 0.292], [0.775, 0.775, 0.293], [0.000, 0.500, 0.500], [0.500, 0.000, 0.500], [0.500, 0.500, 0.500], [0.000, 0.000, 0.000], [0.000, 0.500, 0.000], [0.500, 0.000, 0.000], [0.000, 0.000, 0.500]]}

---

{"formula": "Ac4IrAuN", "functional": "GGA-PBE", "state": "relaxed", "e_form_raw_ev_per_atom": -0.760, "crystal_system": "monoclinic", "final_energy_ev_per_atom": -6.032, "cell": [[7.281, 0.000, 0.000], [0.000, 7.434, 0.000], [-2.543, 0.000, 8.233]], "species": ["Ac", "Ac", "Ac", "Ac", "Ac", "Ac", "Ac", "Ac", "Ir", "Ir", "Au", "Au", "N", "N"], "fractional_positions": [[0.005, 0.006, 0.270], [0.005, 0.494, 0.270], [0.447, 0.250, 0.585], [0.450, 0.250, 0.141], [0.550, 0.750, 0.859], [0.553, 0.750, 0.415], [0.995, 0.506, 0.730], [0.995, 0.994, 0.730], [0.223, 0.750, 0.553], [0.777, 0.250, 0.447], [0.234, 0.750, 0.061], [0.766, 0.250, 0.939], [0.235, 0.250, 0.307], [0.765, 0.750, 0.693]]}

---

{"formula": "AcNdIrAu", "functional": "GGA-PBE", "state": "relaxed", "delta_e_f_ev_per_atom": -0.6062, "crystal_system": "monoclinic", "polymorph_energy_ev_per_atom": 0.0086, "final_energy_ev_per_atom": -5.860, "cell": [[4.336, 0.000, 0.000], [0.000, 4.337, 0.000], [-0.011, 0.000, 6.080]], "species": ["Ac", "Nd", "Ir", "Au"], "fractional_positions": [[0.000, 0.000, 0.000], [0.500, 0.500, 0.501], [0.500, 0.500, 0.000], [0.000, 0.000, 0.500]]}